VASP calculation (PBE) on a relaxed structure of In2CoBr.

Output
- energy above the lowest structure with this stoichiometry (eV per atom) = 0.076
- calculated density (g/cm³) = 7.2
- Fermi-level density of states (states/eV per atom) = 0.39

a b c (Å): 3.304 3.304 7.798
angles (deg): 90.00 90.00 90.00
Fractional positions:
In 0.000 0.000 0.197
In 0.000 0.000 0.803
Co 0.500 0.500 0.000
Br 0.500 0.500 0.500